1.
A plane-wave DFT calculation with PBE was carried out for a geometry-optimized Na2TeH2O6 structure.

Values from the calculation:
**E**: -4.6046 eV/atom
**V**: 10.85 Å³ per atom
**M_tot**: 2.03 μB/cell

Lattice parameters (Å, degrees): 4.9883 4.9883 5.5389 90.00 90.00 120.00
Space group P-3 (No. 147)
Unique sites:
Na1 0.3333 0.6667 0.3835 x2
Te1 0.0000 0.0000 0.0000 x1
H1 0.3333 0.6667 0.8224 x2
O1 0.1161 0.3505 0.7842 x6

2.
A plane-wave DFT calculation with PBE was carried out for a geometry-optimized Na2Te2H4O7 structure.

Values from the calculation:
**E**: -4.7887 eV/atom
**V**: 16.23 Å³ per atom
**M_tot**: 0.00 μB/cell
**Energy above the lowest structure with this stoichiometry**: 0.263 eV per atom

Lattice parameters (Å, degrees): 5.749 8.530 10.619 95.68 96.92 107.83
Space group P-1 (No. 2)
Unique sites:
Na1 0.066 0.324 0.307 x2
Na2 0.251 0.937 0.404 x2
Te1 0.148 0.671 0.069 x2
Te2 0.173 0.027 0.904 x2
H1 0.036 0.349 0.595 x2
H2 0.192 0.234 0.545 x2
H3 0.277 0.077 0.647 x2
H4 0.463 0.699 0.342 x2
O1 0.034 0.042 0.255 x2
O2 0.053 0.281 0.518 x2
O3 0.107 0.605 0.261 x2
O4 0.147 0.271 0.914 x2
O5 0.171 0.781 0.907 x2
O6 0.348 0.578 0.296 x2
O7 0.385 0.136 0.591 x2